(1)
First-principles (GGA-PBEsol) data for CdMoIr after structural relaxation, as listed in the Alexandria database.

Unit cell a=6.0654 b=6.0654 c=6.0654 alpha=90.00 beta=90.00 gamma=90.00
With the nearest neighbours (Å) after each atom.
Space group F-43m (No. 216)
Symmetry-distinct sites (fractional):
Cd1 0.0000 0.0000 0.0000  4 Ir 2.63
Mo1 0.0000 0.0000 0.5000  4 Ir 2.63
Ir1 0.2500 0.2500 0.7500  4 Cd 2.63, 4 Mo 2.63

Output
* E above lowest polymorph: 0.0000 eV per atom
* DOS(E_F): 18.6 states/eV per cell


(2)
First-principles (GGA-PBEsol) data for CdMo2Ir after structural relaxation, as listed in the Alexandria database.

Unit cell a=2.9702 b=4.7172 c=9.1954 alpha=90.00 beta=90.00 gamma=90.00
With the nearest neighbours (Å) after each atom.
Space group Imm2 (No. 44)
Symmetry-distinct sites (fractional):
Cd1 0.0000 0.0000 0.0000  8 Mo 2.79-3.10, 2 Ir 2.87, 2 Cd 2.97
Mo1 0.0000 0.0000 0.5021  2 Mo 2.49, 2 Ir 2.62, 4 Cd 2.79
Mo2 0.0000 0.5000 0.2195  2 Mo 2.49
Ir1 0.0000 0.5000 0.7677  6 Mo 2.62-2.82, 2 Cd 2.87

Output
* energy: -8.34 eV/atom
* DOS(E_F): 4.4 states/eV per cell


(3)
First-principles (GGA-PBEsol) data for CdMo2Ir after structural relaxation, as listed in the Alexandria database.

Unit cell a=9.6075 b=2.9168 c=4.6338 alpha=90.00 beta=103.08 gamma=90.00
With the nearest neighbours (Å) after each atom.
Space group C2/m (No. 12)
Symmetry-distinct sites (fractional):
Cd1 0.0000 0.0000 0.0000  4 Ir 2.74, 6 Mo 2.87-2.93, 2 Cd 2.92
Mo1 0.2397 0.0000 0.7243  2 Mo 2.58, 2 Ir 2.73, 1 Cd 2.87
Ir1 0.0000 0.5000 0.5000  6 Mo 2.73-2.92, 4 Cd 2.74, 2 Ir 2.92

Output
* energy: -8.39 eV/atom
* DOS(E_F): 6.5 states/eV per cell


(4)
First-principles (GGA-PBEsol) data for CdMo2Ir after structural relaxation, as listed in the Alexandria database.

Unit cell a=3.1499 b=3.1499 c=6.4757 alpha=90.00 beta=90.00 gamma=90.00
With the nearest neighbours (Å) after each atom.
Space group P4mm (No. 99)
Symmetry-distinct sites (fractional):
Cd1 0.0000 0.0000 0.0000  4 Ir 2.81, 4 Mo 2.89
Mo1 0.0000 0.0000 0.5054  4 Mo 2.61, 4 Ir 2.72
Mo2 0.5000 0.5000 0.7150  4 Mo 2.61, 4 Cd 2.89
Ir1 0.5000 0.5000 0.2639  5 Mo 2.72-2.92, 4 Cd 2.81

Output
* energy: -8.35 eV/atom
* DOS(E_F): 5.1 states/eV per cell


(5)
First-principles (GGA-PBEsol) data for CdMoIr2 after structural relaxation, as listed in the Alexandria database.

Unit cell a=6.2954 b=6.2954 c=6.2954 alpha=90.00 beta=90.00 gamma=90.00
With the nearest neighbours (Å) after each atom.
Space group Fm-3m (No. 225)
Symmetry-distinct sites (fractional):
Cd1 0.0000 0.0000 0.0000  8 Ir 2.73
Mo1 0.0000 0.0000 0.5000  8 Ir 2.73
Ir1 0.2500 0.2500 0.2500  4 Cd 2.73, 4 Mo 2.73

Output
* energy: -7.83 eV/atom
* DOS(E_F): 23.1 states/eV per cell


(6)
First-principles (GGA-PBEsol) data for CdIrS2N after structural relaxation, as listed in the Alexandria database.

Unit cell a=4.8803 b=4.8803 c=3.6284 alpha=90.00 beta=90.00 gamma=90.00
With the nearest neighbours (Å) after each atom.
Space group P4/mmm (No. 123)
Symmetry-distinct sites (fractional):
Cd1 0.0000 0.0000 0.0000  8 S 3.04
Ir1 0.5000 0.5000 0.5000  2 N 1.81
S1 0.0000 0.5000 0.5000  2 Ir 2.44
N1 0.5000 0.5000 0.0000  2 Ir 1.81

Output
* formation energy (no corrections): 1.44 eV/f.u.
* DOS(E_F): 3.6 states/eV per cell


(7)
First-principles (GGA-PBEsol) data for CdIrSeN2 after structural relaxation, as listed in the Alexandria database.

Unit cell a=3.7908 b=3.7908 c=5.5783 alpha=90.00 beta=90.00 gamma=90.00
With the nearest neighbours (Å) after each atom.
Space group P4/mmm (No. 123)
Symmetry-distinct sites (fractional):
Cd1 0.0000 0.0000 0.0000  4 Se 2.68
Ir1 0.5000 0.5000 0.5000  4 N 1.90
Se1 0.5000 0.5000 0.0000  4 Cd 2.68, 2 Ir 2.79
N1 0.0000 0.5000 0.5000  2 Ir 1.90

Output
* formation energy (no corrections): 2.87 eV/f.u.
* DOS(E_F): 2.0 states/eV per cell


(8)
First-principles (GGA-PBEsol) data for Na3Cd2IrO6 after structural relaxation, as listed in the Alexandria database.

Unit cell a=5.7137 b=9.8575 c=5.6480 alpha=90.00 beta=110.36 gamma=90.00
With the nearest neighbours (Å) after each atom.
Space group C2/m (No. 12)
Symmetry-distinct sites (fractional):
Na1 0.0000 0.0000 0.0000  4 O 2.34
Na2 0.0000 0.3337 0.0000  6 O 2.35-2.62
Cd1 0.0000 0.1673 0.5000  6 O 2.31-2.35
Ir1 0.0000 0.5000 0.5000  6 O 1.98-2.00
O1 0.2156 0.3548 0.7149  1 Ir 2.00
O2 0.2192 0.5000 0.2941  1 Ir 1.98

Output
* formation energy (no corrections): -14.33 eV/f.u.
* DOS(E_F): 6.0 states/eV per cell


(9)
First-principles (GGA-PBEsol) data for CdNi2Ir after structural relaxation, as listed in the Alexandria database.

Unit cell a=3.9057 b=3.9057 c=6.9801 alpha=90.00 beta=90.00 gamma=90.00
With the nearest neighbours (Å) after each atom.
Space group I4/mmm (No. 139)
Symmetry-distinct sites (fractional):
Cd1 0.0000 0.0000 0.0000  8 Ni 2.62, 4 Ir 2.76
Ni1 0.0000 0.5000 0.2500  4 Cd 2.62, 4 Ir 2.62, 4 Ni 2.76
Ir1 0.0000 0.0000 0.5000  8 Ni 2.62, 4 Cd 2.76

Output
* energy: -5.64 eV/atom
* DOS(E_F): 12.4 states/eV per cell


(10)
First-principles (GGA-PBEsol) data for Cd2NiIr after structural relaxation, as listed in the Alexandria database.

Unit cell a=4.3820 b=4.3820 c=3.2316 alpha=90.00 beta=90.00 gamma=90.00
With the nearest neighbours (Å) after each atom.
Space group P4/mmm (No. 123)
Symmetry-distinct sites (fractional):
Cd1 0.0000 0.5000 0.0000  4 Ir 2.72, 4 Ni 2.72
Ni1 0.0000 0.0000 0.5000  8 Cd 2.72
Ir1 0.5000 0.5000 0.5000  8 Cd 2.72

Output
* energy: -4.42 eV/atom
* DOS(E_F): 1.8 states/eV per cell


(11)
First-principles (GGA-PBEsol) data for Cd2NiIr after structural relaxation, as listed in the Alexandria database.

Unit cell a=2.8449 b=2.8449 c=26.4165 alpha=90.00 beta=90.00 gamma=120.00
With the nearest neighbours (Å) after each atom.
Space group R-3m (No. 166, hexagonal axes)
Symmetry-distinct sites (fractional):
Cd1 0.0000 0.0000 0.2461  3 Ni 2.67, 3 Ir 2.83, 6 Cd 2.84
Ni1 0.0000 0.0000 0.5000  6 Cd 2.67, 6 Ni 2.84
Ir1 0.0000 0.0000 0.0000  6 Cd 2.83, 6 Ir 2.84

Output
* energy: -4.40 eV/atom
* DOS(E_F): 10.0 states/eV per cell


(12)
First-principles (GGA-PBEsol) data for Cd2NiIr after structural relaxation, as listed in the Alexandria database.

Unit cell a=4.0426 b=4.0426 c=7.5807 alpha=90.00 beta=90.00 gamma=90.00
With the nearest neighbours (Å) after each atom.
Space group I4/mmm (No. 139)
Symmetry-distinct sites (fractional):
Cd1 0.0000 0.5000 0.2500  4 Ni 2.77, 4 Ir 2.77, 4 Cd 2.86
Ni1 0.0000 0.0000 0.0000  8 Cd 2.77, 4 Ir 2.86
Ir1 0.0000 0.0000 0.5000  8 Cd 2.77, 4 Ni 2.86

Output
* energy: -4.42 eV/atom
* DOS(E_F): 6.0 states/eV per cell